(1)
First-principles (PBE-GGA) data for crystalline La4Pm2NdMg at its relaxed geometry, as listed in Alexandria via LeMat-Bulk.

a b c (Å): 5.9681 5.9681 7.7991
angles (deg): 90.00 90.00 90.00
With the nearest neighbours (Å) after each atom.
Space group P4/mmm (No. 123)
One atom of each set of equivalent atoms:
La  0.0000  0.5000  0.2312 x4  2 Mg 3.49, 4 Pm 3.49-3.65, 1 La 3.61, 2 Nd 3.65
Pm  0.0000  0.0000  0.0000 x1  8 La 3.49, 2 Nd 3.90
Pm  0.5000  0.5000  0.5000 x1  8 La 3.65, 2 Mg 3.90
Nd  0.0000  0.0000  0.5000 x1  8 La 3.65, 2 Pm 3.90
Mg  0.5000  0.5000  0.0000 x1  8 La 3.49, 2 Pm 3.90

Calculated values
For the energy relative to the elements, the calculation gives 0.0486 eV per atom.

---

(2)
First-principles (PBE-GGA) data for crystalline La2Pm6NdMg at its relaxed geometry, as listed in Alexandria via LeMat-Bulk.

a b c (Å): 9.3628 14.8310 9.9480
angles (deg): 90.00 100.03 90.00
With the nearest neighbours (Å) after each atom.
Space group C2/c (No. 15)
One atom of each set of equivalent atoms:
La  0.2494  0.0443  0.0514 x8  4 Pm 3.22-3.52, 2 Nd 3.41-3.50, 1 Mg 3.50
Pm  0.0718  0.1888  0.4475 x8  7 Pm 3.50-3.90, 1 Nd 3.54, 2 La 3.69-3.90, 1 Mg 3.72
Pm  0.0919  0.3982  0.6120 x8  3 La 3.22-3.52, 4 Pm 3.42-3.55, 2 Mg 3.43-3.55
Pm  0.2097  0.2152  0.8091 x8  1 Mg 3.36, 3 Pm 3.42-3.71, 1 La 3.47, 1 Nd 3.62
Nd  0.0000  0.0095  0.7500 x4  4 La 3.41-3.50, 4 Pm 3.54-3.62
Mg  0.0000  0.4022  0.2500 x4  8 Pm 3.36-3.72, 2 La 3.50

Calculated values
For the energy relative to the elements, the calculation gives 0.1004 eV per atom.

---

(3)
First-principles (PBE-GGA) data for crystalline La2Pm4NdMg at its relaxed geometry, as listed in Alexandria via LeMat-Bulk.

a b c (Å): 5.8679 5.8792 7.8065
angles (deg): 90.00 90.08 90.00
With the nearest neighbours (Å) after each atom.
Space group P2/m (No. 10)
One atom of each set of equivalent atoms:
La  0.0000  0.0000  0.0000 x1  8 Pm 3.61-3.62, 2 Mg 3.90
La  0.5000  0.5000  0.5000 x1  8 Pm 3.44
Pm  0.0002  0.5000  0.2704 x2  4 La 3.44-3.62, 2 Mg 3.44, 1 Pm 3.59, 2 Nd 3.61-3.62
Pm  0.4993  0.0000  0.2710 x2  2 Mg 3.43-3.44, 4 La 3.44-3.62, 1 Pm 3.58, 2 Nd 3.62
Nd  0.5000  0.5000  0.0000 x1  8 Pm 3.61-3.62, 2 La 3.90
Mg  0.0000  0.0000  0.5000 x1  8 Pm 3.43-3.44

Calculated values
For the energy relative to the elements, the calculation gives 0.0838 eV per atom.

---

(4)
First-principles (PBE-GGA) data for crystalline La2Pm2NdMg5 at its relaxed geometry, as listed in Alexandria via LeMat-Bulk.

a b c (Å): 10.7502 10.7502 5.2249
angles (deg): 90.00 90.00 90.00
With the nearest neighbours (Å) after each atom.
Space group P4/mbm (No. 127)
One atom of each set of equivalent atoms:
La  0.1750  0.3250  0.0000 x4  3 Pm 3.08-3.25
Pm  0.1226  0.6226  0.0000 x4  3 La 3.08-3.25, 6 Mg 3.21-3.30
Nd  0.0000  0.0000  0.0000 x2  8 Mg 3.45
Mg  0.0000  0.5000  0.5000 x2  4 Pm 3.21, 4 Mg 3.36
Mg  0.0745  0.8035  0.5000 x8  4 Mg 3.20-3.48, 2 Pm 3.30, 2 Nd 3.45

Calculated values
For the energy relative to the elements, the calculation gives -0.0037 eV per atom.